[1]
The following is a PBE calculation of a geometry-optimized Pu4TlTe5 structure, from Alexandria. Values from VASP.

```
&SYSTEM
  ibrav = 0, nat = 10, ntyp = 3
/
ATOMIC_SPECIES
Te 127.60 Te.upf
Pu 244.00 Pu.upf
Tl 204.38 Tl.upf
CELL_PARAMETERS angstrom
4.356 0.000 0.995
1.845 7.406 1.955
-0.023 -0.069 10.135
ATOMIC_POSITIONS angstrom
Te 0.911 3.669 6.045
Te 2.284 2.410 10.067
Te 2.549 6.667 8.905
Te 3.629 0.670 4.179
Te 3.894 4.928 3.017
Pu 3.226 5.849 5.942
Pu 2.952 1.488 7.142
Pu 1.602 2.814 3.018
Pu 4.576 4.523 10.066
Tl 0.000 0.000 0.000
```

## Properties
space group = No. 12
raw total energy = -8.50 eV per atom
magnetization = 23.00 μB per formula unit
uncorrected formation energy = -0.963 eV per atom

[2]
The following is a PBE calculation of a geometry-optimized PuTlTe structure, from Alexandria. Values from VASP.

```
&SYSTEM
  ibrav = 0, nat = 3, ntyp = 3
/
ATOMIC_SPECIES
Tl 204.38 Tl.upf
Te 127.60 Te.upf
Pu 244.00 Pu.upf
CELL_PARAMETERS angstrom
-1.191 -3.508 -1.744
-0.223 -3.424 2.234
-6.919 -0.886 1.703
ATOMIC_POSITIONS angstrom
Tl -0.504 -2.303 0.171
Te -4.737 -1.368 1.182
Pu -3.375 -4.084 0.907
```

## Properties
energy above the most stable polymorph in this dataset = 11.2 kJ/mol of atoms
space group = No. 160
raw total energy = -6.88 eV per atom
magnetization = 6.02 μB per formula unit
uncorrected formation energy = -0.265 eV per atom

[3]
The following is a PBE calculation of a geometry-optimized Tm2PuTl3Te6 structure, from Alexandria. Values from VASP.

```
&SYSTEM
  ibrav = 0, nat = 12, ntyp = 4
/
ATOMIC_SPECIES
Tl 204.38 Tl.upf
Te 127.60 Te.upf
Tm 168.93 Tm.upf
Pu 244.00 Pu.upf
CELL_PARAMETERS angstrom
7.708 0.000 0.001
-3.853 6.677 0.001
-1.285 -2.225 8.144
ATOMIC_POSITIONS angstrom
Tl 1.285 2.225 4.073
Tl -2.594 4.466 4.073
Tl 5.165 -0.015 4.073
Te 2.543 4.403 1.719
Te 0.028 0.048 6.426
Te -1.311 2.274 1.732
Te 3.882 2.177 6.413
Te 2.625 0.001 1.732
Te -0.054 4.450 6.413
Tm 3.860 2.223 0.001
Tm -0.004 4.454 0.001
Pu 0.000 0.000 0.000
```

## Properties
space group = No. 12
raw total energy = -5.04 eV per atom
magnetization = 5.01 μB per formula unit
uncorrected formation energy = -0.935 eV per atom

[4]
The following is a PBE calculation of a geometry-optimized Tm3PuTl4Te8 structure, from Alexandria. Values from VASP.

```
&SYSTEM
  ibrav = 0, nat = 16, ntyp = 4
/
ATOMIC_SPECIES
Te 127.60 Te.upf
Pu 244.00 Pu.upf
Tl 204.38 Tl.upf
Tm 168.93 Tm.upf
CELL_PARAMETERS angstrom
-0.048 -6.394 -6.148
-6.825 -4.691 4.932
-1.680 8.396 -2.319
ATOMIC_POSITIONS angstrom
Te -2.049 -5.966 -3.315
Te -2.026 -2.832 -0.301
Te -6.527 0.143 -3.234
Te -6.503 3.277 -0.221
Te -5.677 -4.067 -2.125
Te -2.876 1.378 -1.410
Te -5.680 -0.838 0.916
Te -2.873 -1.851 -4.452
Pu -3.412 -2.345 2.466
Tl -0.864 1.001 -4.234
Tl 0.000 0.000 0.000
Tl -0.840 4.198 -1.160
Tl -0.024 -3.197 -3.074
Tm -3.436 -5.542 -0.608
Tm -4.252 1.852 1.306
Tm -4.276 -1.344 -1.768
```

## Properties
space group = No. 166
raw total energy = -4.86 eV per atom
magnetization = 5.02 μB per formula unit
uncorrected formation energy = -0.959 eV per atom

[5]
The following is a PBE calculation of a geometry-optimized Pu2UTl3Te6 structure, from Alexandria. Values from VASP.

```
&SYSTEM
  ibrav = 0, nat = 12, ntyp = 4
/
ATOMIC_SPECIES
Te 127.60 Te.upf
Tl 204.38 Tl.upf
U 238.03 U.upf
Pu 244.00 Pu.upf
CELL_PARAMETERS angstrom
-4.675 0.531 -6.192
-3.037 -0.196 7.156
2.972 8.049 0.073
ATOMIC_POSITIONS angstrom
Te -1.442 1.916 -1.940
Te -3.297 6.468 2.978
Te -3.832 6.706 -1.386
Te -0.907 1.678 2.424
Te -5.105 1.982 0.734
Te 0.366 6.402 0.304
Tl -1.825 3.950 4.954
Tl -2.370 4.192 0.519
Tl -2.914 4.433 -3.916
U 0.000 0.000 0.000
Pu -3.583 0.047 2.704
Pu -4.128 0.289 -1.739
```

## Properties
space group = No. 12
raw total energy = -6.21 eV per atom
magnetization = 13.00 μB per formula unit
uncorrected formation energy = -0.716 eV per atom

[6]
The following is a PBE calculation of a geometry-optimized PuU2Tl3Te6 structure, from Alexandria. Values from VASP.

```
&SYSTEM
  ibrav = 0, nat = 12, ntyp = 4
/
ATOMIC_SPECIES
Te 127.60 Te.upf
U 238.03 U.upf
Tl 204.38 Tl.upf
Pu 244.00 Pu.upf
CELL_PARAMETERS angstrom
-0.419 -7.742 -0.468
3.473 3.339 6.094
-8.190 1.613 2.134
ATOMIC_POSITIONS angstrom
Te -0.369 1.167 2.942
Te -4.768 -3.958 4.817
Te -3.443 -0.186 7.050
Te -5.613 0.082 3.190
Te -1.693 -2.605 0.709
Te 0.476 -2.873 4.569
U 0.877 -4.053 1.716
U 2.177 -0.350 3.909
Tl -2.568 -1.395 3.880
Tl -3.875 -5.116 1.677
Tl -1.262 2.325 6.083
Pu 0.000 0.000 0.000
```

## Properties
space group = No. 12
raw total energy = -5.84 eV per atom
magnetization = 0.21 μB per formula unit
uncorrected formation energy = -0.599 eV per atom

[7]
The following is a PBE calculation of a geometry-optimized PuU3Tl3Te8 structure, from Alexandria. Values from VASP.

```
&SYSTEM
  ibrav = 0, nat = 15, ntyp = 4
/
ATOMIC_SPECIES
Tl 204.38 Tl.upf
Pu 244.00 Pu.upf
Te 127.60 Te.upf
U 238.03 U.upf
CELL_PARAMETERS angstrom
-6.037 5.311 3.737
-2.604 -6.856 -4.985
3.641 -2.013 8.761
ATOMIC_POSITIONS angstrom
Tl -1.302 -3.428 -2.492
Tl -4.321 -0.772 -0.624
Tl 0.000 0.000 0.000
Pu 1.820 -1.007 4.381
Te -1.394 -6.818 2.326
Te -3.096 -0.790 6.652
Te -3.607 3.260 5.187
Te -1.905 -2.768 0.861
Te -0.668 0.675 3.368
Te -4.333 -4.233 4.145
Te -0.126 -3.481 4.753
Te -4.875 -0.077 2.760
U -1.198 1.649 6.249
U -2.500 -1.779 3.757
U 0.518 -4.434 1.888
```

## Properties
space group = No. 12
raw total energy = -5.96 eV per atom
magnetization = 2.21 μB per formula unit
uncorrected formation energy = -0.602 eV per atom

[8]
The following is a PBE calculation of a geometry-optimized PuU3Tl4Te8 structure, from Alexandria. Values from VASP.

```
&SYSTEM
  ibrav = 0, nat = 16, ntyp = 4
/
ATOMIC_SPECIES
Tl 204.38 Tl.upf
Te 127.60 Te.upf
Pu 244.00 Pu.upf
U 238.03 U.upf
CELL_PARAMETERS angstrom
-5.791 0.034 6.805
6.890 -3.559 5.881
1.839 7.585 -4.340
ATOMIC_POSITIONS angstrom
Tl 0.000 0.000 0.000
Tl -1.976 3.810 1.233
Tl 0.919 3.793 -2.170
Tl -2.895 0.017 3.403
Te 4.431 1.119 3.765
Te 1.534 1.097 7.166
Te -2.394 -0.795 6.722
Te 0.458 -0.812 3.371
Te 1.404 2.964 1.180
Te 2.480 4.873 4.975
Te 5.332 4.856 1.624
Te -1.493 2.942 4.582
Pu 3.445 -1.779 2.940
U 1.469 2.030 4.173
U 4.364 2.013 0.770
U 0.550 -1.762 6.343
```

## Properties
space group = No. 166
raw total energy = -5.75 eV per atom
magnetization = 2.79 μB per formula unit
uncorrected formation energy = -0.577 eV per atom

[9]
The following is a PBE calculation of a geometry-optimized Pu3UTl3Te8 structure, from Alexandria. Values from VASP.

```
&SYSTEM
  ibrav = 0, nat = 15, ntyp = 4
/
ATOMIC_SPECIES
Te 127.60 Te.upf
Tl 204.38 Tl.upf
Pu 244.00 Pu.upf
U 238.03 U.upf
CELL_PARAMETERS angstrom
8.931 0.000 0.000
-4.465 7.734 -0.029
0.000 -5.125 8.214
ATOMIC_POSITIONS angstrom
Te 2.186 -1.307 2.373
Te 6.745 -1.307 2.373
Te 2.280 3.917 5.811
Te 4.465 0.022 5.848
Te 0.000 2.587 2.337
Te -2.280 3.917 5.812
Te 4.465 2.641 2.358
Te 0.000 -0.032 5.827
Tl 2.233 3.867 -0.015
Tl -2.233 3.867 -0.015
Tl 0.000 0.000 0.000
Pu 4.465 -2.562 4.107
Pu -2.233 1.305 4.092
Pu 2.233 1.305 4.092
U 0.000 -2.563 4.107
```

## Properties
space group = No. 166
raw total energy = -6.52 eV per atom
magnetization = 17.00 μB per formula unit
uncorrected formation energy = -0.755 eV per atom

[10]
The following is a PBE calculation of a geometry-optimized YPu2Tl3Te6 structure, from Alexandria. Values from VASP.

```
&SYSTEM
  ibrav = 0, nat = 12, ntyp = 4
/
ATOMIC_SPECIES
Te 127.60 Te.upf
Tl 204.38 Tl.upf
Pu 244.00 Pu.upf
Y 88.91 Y.upf
CELL_PARAMETERS angstrom
7.769 0.000 0.001
-3.883 6.729 0.001
-1.295 -2.243 8.153
ATOMIC_POSITIONS angstrom
Te 0.016 4.486 6.410
Te -1.287 2.230 1.745
Te 3.878 2.256 6.410
Te 2.598 4.499 1.751
Te -0.007 -0.012 6.404
Te 2.575 0.000 1.745
Tl -2.581 4.482 4.077
Tl 5.172 0.004 4.077
Tl 1.295 2.243 4.077
Pu 0.002 4.485 0.001
Pu 3.884 2.244 0.001
Y 0.000 0.000 0.000
```

## Properties
space group = No. 12
raw total energy = -5.96 eV per atom
magnetization = 10.01 μB per formula unit
uncorrected formation energy = -0.874 eV per atom

> What is the formula in the third record?

Tm2PuTl3Te6

> raw total energy of number 6 (PuU2Tl3Te6)?

-5.84 eV per atom

> Look up the magnetization of the fifth one.

13.00 μB per formula unit

What did the fourth record say?
The following is a PBE calculation of a geometry-optimized Tm3PuTl4Te8 structure, from Alexandria. Values from VASP.

```
&SYSTEM
  ibrav = 0, nat = 16, ntyp = 4
/
ATOMIC_SPECIES
Te 127.60 Te.upf
Pu 244.00 Pu.upf
Tl 204.38 Tl.upf
Tm 168.93 Tm.upf
CELL_PARAMETERS angstrom
-0.048 -6.394 -6.148
-6.825 -4.691 4.932
-1.680 8.396 -2.319
ATOMIC_POSITIONS angstrom
Te -2.049 -5.966 -3.315
Te -2.026 -2.832 -0.301
Te -6.527 0.143 -3.234
Te -6.503 3.277 -0.221
Te -5.677 -4.067 -2.125
Te -2.876 1.378 -1.410
Te -5.680 -0.838 0.916
Te -2.873 -1.851 -4.452
Pu -3.412 -2.345 2.466
Tl -0.864 1.001 -4.234
Tl 0.000 0.000 0.000
Tl -0.840 4.198 -1.160
Tl -0.024 -3.197 -3.074
Tm -3.436 -5.542 -0.608
Tm -4.252 1.852 1.306
Tm -4.276 -1.344 -1.768
```

## Properties
space group = No. 166
raw total energy = -4.86 eV per atom
magnetization = 5.02 μB per formula unit
uncorrected formation energy = -0.959 eV per atom